#i
Y2ZrRh2: relaxed, PBE-GGA.

Calculated values
- Density: 7.1 g/cm3
- D(E_F): 0.60 states/eV per atom

Cell: 7.123 7.123 4.352 Å, 90.00 90.00 90.00°
Space group P4/mbm (No. 127)
One atom of each set of equivalent atoms:
Y 0.169 0.331 0.000 [4 per cell]
Zr 0.000 0.000 0.500 [2 per cell]
Rh 0.140 0.640 0.500 [4 per cell]


#ii
Y2ZrRh2: relaxed, PBE-GGA.

Calculated values
- Density: 7.0 g/cm3
- D(E_F): 0.87 states/eV per atom

Cell: 4.081 6.029 9.101 Å, 90.00 90.00 90.00°
Space group Immm (No. 71)
One atom of each set of equivalent atoms:
Y 0.000 0.000 0.200 [4 per cell]
Zr 0.000 0.500 0.000 [2 per cell]
Rh 0.000 0.276 0.500 [4 per cell]


Most stable = #ii


#i
Zn5Rh4: relaxed, PBE-GGA.

Calculated values
- Density: 9.8 g/cm3
- D(E_F): 0.68 states/eV per atom

Cell: 8.012 8.012 3.917 Å, 90.00 90.00 90.00°
Space group I4/mmm (No. 139)
One atom of each set of equivalent atoms:
Zn 0.000 0.000 0.000 [2 per cell]
Zn 0.170 0.170 0.500 [8 per cell]
Rh 0.000 0.325 0.000 [8 per cell]


#ii
Zn5Rh4: relaxed, PBE-GGA.

Calculated values
- Density: 9.6 g/cm3
- D(E_F): 0.46 states/eV per atom

Cell: 7.5067 7.5067 5.2120 Å, 90.00 90.00 120.00°
Space group P6_3/mcm (No. 193)
One atom of each set of equivalent atoms:
Zn 0.0000 0.3054 0.2500 [6 per cell]
Zn 0.3333 0.6667 0.0000 [4 per cell]
Rh 0.0000 0.0000 0.0000 [2 per cell]
Rh 0.0000 0.3604 0.7500 [6 per cell]


Most stable = #ii


#i
Zn4Rh5: relaxed, PBE-GGA.

Calculated values
- Density: 10.0 g/cm3
- D(E_F): 1.44 states/eV per atom

Cell: 8.061 8.061 3.965 Å, 90.00 90.00 90.00°
Space group I4/mmm (No. 139)
One atom of each set of equivalent atoms:
Zn 0.000 0.322 0.000 [8 per cell]
Rh 0.000 0.000 0.000 [2 per cell]
Rh 0.169 0.169 0.500 [8 per cell]


#ii
Zn4Rh5: relaxed, PBE-GGA.

Calculated values
- Density: 10.1 g/cm3
- D(E_F): 0.93 states/eV per atom

Cell: 7.5251 7.5251 5.1795 Å, 90.00 90.00 120.00°
Space group P6_3/mcm (No. 193)
One atom of each set of equivalent atoms:
Zn 0.0000 0.0000 0.0000 [2 per cell]
Zn 0.0000 0.3604 0.2500 [6 per cell]
Rh 0.0000 0.3062 0.7500 [6 per cell]
Rh 0.3333 0.6667 0.0000 [4 per cell]


Most stable = #ii